# 1
Density functional theory data (PBE-GGA) for a relaxed structure of Fe2Tc3. Values from VASP.

The structure in Quantum ESPRESSO input format:
```
&SYSTEM
  ibrav = 0, nat = 5, ntyp = 2
/
ATOMIC_SPECIES
Fe 55.84 Fe.upf
Tc 98.00 Tc.upf
ATOMIC_POSITIONS crystal
Fe 0.1012 0.1012 0.1012
Fe 0.8988 0.8988 0.8988
Tc 0.2989 0.2989 0.2989
Tc 0.5000 0.5000 0.5000
Tc 0.7011 0.7011 0.7011
CELL_PARAMETERS angstrom
1.3381 0.7725 10.7712
-1.3381 0.7725 10.7712
0.0000 -1.5451 10.7712
```

Calculated values
Magnetization = 3.2 μB/cell
Distance to the lowest polymorph of the same formula = 0.003 eV per atom
E = -9.456 eV per atom
Formation energy = 0.15 eV per atom


# 2
Density functional theory data (PBE-GGA) for a relaxed structure of Nd6Dy2YHo3. Values from VASP.

The structure in Quantum ESPRESSO input format:
```
&SYSTEM
  ibrav = 0, nat = 12, ntyp = 4
/
ATOMIC_SPECIES
Nd 144.24 Nd.upf
Dy 162.50 Dy.upf
Y 88.91 Y.upf
Ho 164.93 Ho.upf
ATOMIC_POSITIONS crystal
Nd 0.0818 0.4159 0.2492
Nd 0.2500 0.2500 0.7510
Nd 0.4159 0.0818 0.2492
Nd 0.5841 0.9182 0.7508
Nd 0.7500 0.7500 0.2490
Nd 0.9182 0.5841 0.7508
Dy 0.1666 0.8334 0.5000
Dy 0.8334 0.1666 0.5000
Y 0.5000 0.5000 0.5000
Ho 0.0000 0.0000 0.0000
Ho 0.3333 0.6667 0.0000
Ho 0.6667 0.3333 0.0000
CELL_PARAMETERS angstrom
3.1364 -5.4316 0.0000
3.1364 5.4316 0.0000
-2.0834 0.0000 11.6685
```

Calculated values
Magnetization = 0.0 μB/cell
E = -4.823 eV per atom
Formation energy = 0.01 eV per atom


# 3
Density functional theory data (PBE-GGA) for a relaxed structure of Rb3ReSe. Values from VASP.

The structure in Quantum ESPRESSO input format:
```
&SYSTEM
  ibrav = 0, nat = 5, ntyp = 3
/
ATOMIC_SPECIES
Rb 85.47 Rb.upf
Re 186.21 Re.upf
Se 78.96 Se.upf
ATOMIC_POSITIONS crystal
Rb 0.0000 0.0000 0.5000
Rb 0.0000 0.5000 0.0000
Rb 0.5000 0.0000 0.0000
Re 0.5000 0.5000 0.5000
Se 0.0000 0.0000 0.0000
CELL_PARAMETERS angstrom
6.5477 0.0000 0.0000
0.0000 6.5477 0.0000
0.0000 0.0000 6.5477
```

Calculated values
Magnetization = 4.1 μB/cell
Distance to the lowest polymorph of the same formula = 0.000 eV per atom
E = -3.007 eV per atom
Raw formation energy = 0.76 eV per atom


# 4
Density functional theory data (PBE-GGA) for a relaxed structure of P2Pd7Pb. Values from VASP.

The structure in Quantum ESPRESSO input format:
```
&SYSTEM
  ibrav = 0, nat = 10, ntyp = 3
/
ATOMIC_SPECIES
P 30.97 P.upf
Pd 106.42 Pd.upf
Pb 207.20 Pb.upf
ATOMIC_POSITIONS crystal
P 0.1752 0.1752 0.0000
P 0.8248 0.8248 0.0000
Pd 0.0000 0.0000 0.0000
Pd 0.1099 0.6099 0.5000
Pd 0.2500 0.7500 0.5000
Pd 0.3901 0.8901 0.5000
Pd 0.6099 0.1099 0.5000
Pd 0.7500 0.2500 0.5000
Pd 0.8901 0.3901 0.5000
Pb 0.5000 0.5000 0.0000
CELL_PARAMETERS angstrom
-2.0099 2.0099 10.0876
2.0099 -2.0099 10.0876
2.0099 2.0099 -10.0876
```

Calculated values
Magnetization = 0.0 μB/cell
E = -5.499 eV per atom
Formation energy = -0.41 eV per atom


# 5
Density functional theory data (PBE-GGA) for a relaxed structure of Li4Al5Ga2. Values from VASP.

The structure in Quantum ESPRESSO input format:
```
&SYSTEM
  ibrav = 0, nat = 11, ntyp = 3
/
ATOMIC_SPECIES
Li 6.94 Li.upf
Al 26.98 Al.upf
Ga 69.72 Ga.upf
ATOMIC_POSITIONS crystal
Li 0.2226 0.0000 0.4716
Li 0.2333 0.0000 0.0088
Li 0.7667 0.0000 0.9912
Li 0.7774 0.0000 0.5284
Al 0.0822 0.5000 0.1733
Al 0.4570 0.5000 0.3183
Al 0.5000 0.5000 0.0000
Al 0.5430 0.5000 0.6817
Al 0.9178 0.5000 0.8267
Ga 0.1579 0.5000 0.7008
Ga 0.8421 0.5000 0.2992
CELL_PARAMETERS angstrom
8.2842 0.0000 0.0000
0.0000 2.8610 0.0000
-4.0978 0.0000 7.8074
```

Calculated values
Magnetization = 0.0 μB/cell
E = -3.011 eV per atom
Formation energy = -0.06 eV per atom


# 6
Density functional theory data (PBE-GGA) for a relaxed structure of In2HCSe. Values from VASP.

The structure in Quantum ESPRESSO input format:
```
&SYSTEM
  ibrav = 0, nat = 5, ntyp = 4
/
ATOMIC_SPECIES
In 114.82 In.upf
H 1.01 H.upf
C 12.01 C.upf
Se 78.96 Se.upf
ATOMIC_POSITIONS crystal
In 0.0000 0.5000 0.0000
In 0.5000 0.0000 0.0000
H 0.0000 0.0000 0.5000
C 0.5000 0.5000 0.5000
Se 0.0000 0.0000 0.0000
CELL_PARAMETERS angstrom
5.4167 0.0000 0.0000
0.0000 5.4167 0.0000
0.0000 0.0000 3.3661
```

Calculated values
Magnetization = 0.0 μB/cell
E = -3.053 eV per atom


# 7
Density functional theory data (PBE-GGA) for a relaxed structure of SnNO2F. Values from VASP.

The structure in Quantum ESPRESSO input format:
```
&SYSTEM
  ibrav = 0, nat = 5, ntyp = 4
/
ATOMIC_SPECIES
Sn 118.71 Sn.upf
N 14.01 N.upf
O 16.00 O.upf
F 19.00 F.upf
ATOMIC_POSITIONS crystal
Sn 0.0000 0.0000 0.0000
N 0.5000 0.5000 0.5000
O 0.0000 0.5000 0.5000
O 0.5000 0.0000 0.5000
F 0.5000 0.5000 0.0000
CELL_PARAMETERS angstrom
3.7654 0.0000 0.0000
0.0000 3.7654 0.0000
0.0000 0.0000 3.7855
```

Calculated values
Magnetization = 0.0 μB/cell
E = -4.466 eV per atom
Raw formation energy = 0.36 eV per atom


# 8
Density functional theory data (PBE-GGA) for a relaxed structure of NdHg2Pd6. Values from VASP.

The structure in Quantum ESPRESSO input format:
```
&SYSTEM
  ibrav = 0, nat = 9, ntyp = 3
/
ATOMIC_SPECIES
Nd 144.24 Nd.upf
Hg 200.59 Hg.upf
Pd 106.42 Pd.upf
ATOMIC_POSITIONS crystal
Nd 0.0000 0.0000 0.0000
Hg 0.2500 0.2500 0.2500
Hg 0.7500 0.7500 0.7500
Pd 0.2880 0.2880 0.7120
Pd 0.2880 0.7120 0.2880
Pd 0.2880 0.7120 0.7120
Pd 0.7120 0.2880 0.2880
Pd 0.7120 0.2880 0.7120
Pd 0.7120 0.7120 0.2880
CELL_PARAMETERS angstrom
0.0000 4.5306 4.5306
4.5306 0.0000 4.5306
4.5306 4.5306 0.0000
```

Calculated values
Magnetization = 0.0 μB/cell
Distance to the lowest polymorph of the same formula = 0.329 eV per atom
E = -4.003 eV per atom
Formation energy = 0.06 eV per atom